Entry 1:
PrDyAl2Ga2: relaxed, PBE.

Lattice parameters (Å, degrees): 4.3239 4.3239 8.3286 90.00 90.00 120.00
Positions (direct):
Al  0.6667  0.3333  0.7409
Pr  0.0000  0.0000  0.0000
Al  0.3333  0.6667  0.2591
Dy  0.0000  0.0000  0.5000
Ga  0.6667  0.3333  0.2631
Ga  0.3333  0.6667  0.7369

The calculation puts the formation energy at -0.58 eV/atom. The density of states at the Fermi level comes out at 3.48 states/eV per cell.



Entry 2:
DyAlGaPt3: relaxed, PBE.

Lattice parameters (Å, degrees): 5.5989 5.6232 8.4707 109.39 90.00 90.00
Positions (direct):
Pt  0.0000  0.2510  0.0000
Ga  0.2500  0.4014  0.8029
Al  0.7500  0.9065  0.8131
Ga  0.7500  0.5986  0.1971
Dy  0.7500  0.2979  0.5958
Pt  0.5000  0.7490  0.0000
Pt  0.0000  0.7490  0.0000
Pt  0.7500  0.7533  0.5065
Al  0.2500  0.0935  0.1869
Pt  0.2500  0.2467  0.4935
Pt  0.5000  0.2510  0.0000
Dy  0.2500  0.7021  0.4042

The calculation puts the formation energy at -0.83 eV/atom. The density of states at the Fermi level comes out at 2.77 states/eV per cell.



Entry 3:
Dy2AlGa3Pt4: relaxed, PBE.

Lattice parameters (Å, degrees): 4.1013 4.1013 11.0401 90.00 90.00 90.00
Positions (direct):
Pt  0.5000  0.0000  0.6390
Dy  0.0000  0.5000  0.7513
Dy  0.5000  0.0000  0.2487
Ga  0.5000  0.0000  0.8643
Pt  0.5000  0.5000  0.0000
Pt  0.0000  0.5000  0.3610
Ga  0.0000  0.5000  0.1357
Pt  0.0000  0.0000  0.0000
Ga  0.0000  0.0000  0.5000
Al  0.5000  0.5000  0.5000

The calculation puts the formation energy at -1.00 eV/atom. The density of states at the Fermi level comes out at 3.23 states/eV per cell.



Entry 4:
DyAl2GaPt4: relaxed, PBE.

Lattice parameters (Å, degrees): 4.2962 4.2962 8.9325 76.09 76.09 60.00
Positions (direct):
Pt  0.1336  0.1336  0.5991
Al  0.2450  0.2450  0.2649
Dy  0.0000  0.0000  0.0000
Al  0.7550  0.7550  0.7351
Pt  0.4016  0.4016  0.7952
Pt  0.8664  0.8664  0.4009
Ga  0.5000  0.5000  0.5000
Pt  0.5984  0.5984  0.2048

The calculation puts the formation energy at -0.98 eV/atom. The density of states at the Fermi level comes out at 1.97 states/eV per cell.



Entry 5:
Dy2AlGaPt6: relaxed, PBE.

Lattice parameters (Å, degrees): 8.3968 5.5866 8.3966 70.55 38.86 89.99
Positions (direct):
Pt  0.7475  0.2517  0.9937
Al  0.5000  0.5000  0.0000
Pt  0.7476  0.7539  0.9938
Dy  0.2020  0.7975  0.4047
Dy  0.7980  0.2025  0.5953
Pt  0.2453  0.2518  0.4958
Pt  0.2525  0.7483  0.0063
Pt  0.2524  0.2461  0.0062
Pt  0.7547  0.7482  0.5042
Ga  0.0000  0.0000  0.0000

The calculation puts the formation energy at -0.91 eV/atom. The density of states at the Fermi level comes out at 4.05 states/eV per cell.



Entry 6:
Dy2AlGa2Pt5: relaxed, PBE.

Lattice parameters (Å, degrees): 3.6473 9.8714 9.8714 90.00 90.00 90.00
Positions (direct):
Pt  0.5000  0.4452  0.2993
Dy  0.0000  0.1752  0.3248
Pt  0.5000  0.5548  0.7007
Al  0.0000  0.0000  0.0000
Ga  0.0000  0.6257  0.8743
Dy  0.0000  0.6752  0.1752
Al  0.0000  0.5000  0.5000
Pt  0.5000  0.2993  0.5548
Dy  0.0000  0.3248  0.8248
Pt  0.5000  0.5000  0.0000
Pt  0.5000  0.7007  0.4452
Pt  0.5000  0.7993  0.9452
Pt  0.5000  0.2007  0.0548
Pt  0.5000  0.9452  0.2007
Ga  0.0000  0.3743  0.1257
Pt  0.5000  0.0000  0.5000
Ga  0.0000  0.1257  0.6257
Ga  0.0000  0.8743  0.3743
Dy  0.0000  0.8248  0.6752
Pt  0.5000  0.0548  0.7993

The calculation puts the formation energy at -0.93 eV/atom. The density of states at the Fermi level comes out at 13.37 states/eV per cell.



Entry 7:
DyAlGa2Pt4: relaxed, PBE.

Lattice parameters (Å, degrees): 4.3218 4.3218 8.8434 75.86 75.86 60.00
Positions (direct):
Al  0.5000  0.5000  0.5000
Pt  0.8646  0.8646  0.4062
Pt  0.4020  0.4020  0.7941
Dy  0.0000  0.0000  0.0000
Ga  0.7506  0.7506  0.7483
Pt  0.1354  0.1354  0.5938
Ga  0.2494  0.2494  0.2517
Pt  0.5980  0.5980  0.2059

The calculation puts the formation energy at -0.93 eV/atom. The density of states at the Fermi level comes out at 2.19 states/eV per cell.



Entry 8:
Dy2AlGa2Rh5: relaxed, PBE.

Lattice parameters (Å, degrees): 3.4607 9.8423 9.8423 90.00 90.00 90.00
Positions (direct):
Rh  0.5000  0.4347  0.2997
Rh  0.5000  0.0000  0.5000
Al  0.0000  0.0000  0.0000
Ga  0.0000  0.8733  0.3733
Dy  0.0000  0.6726  0.1726
Ga  0.0000  0.3733  0.1267
Al  0.0000  0.5000  0.5000
Rh  0.5000  0.5653  0.7003
Rh  0.5000  0.9347  0.2003
Dy  0.0000  0.1726  0.3274
Rh  0.5000  0.7997  0.9347
Rh  0.5000  0.2997  0.5653
Dy  0.0000  0.3274  0.8274
Rh  0.5000  0.5000  0.0000
Dy  0.0000  0.8274  0.6726
Rh  0.5000  0.0653  0.7997
Ga  0.0000  0.6267  0.8733
Rh  0.5000  0.7003  0.4347
Rh  0.5000  0.2003  0.0653
Ga  0.0000  0.1267  0.6267

The calculation puts the formation energy at -0.84 eV/atom. The density of states at the Fermi level comes out at 10.82 states/eV per cell.



Entry 9:
DyAlGa2S6: relaxed, PBE.

Lattice parameters (Å, degrees): 7.0288 8.4305 8.4305 80.72 72.62 72.62
Positions (direct):
Ga  0.1969  0.3742  0.2530
S  0.3507  0.1723  0.0517
S  0.9449  0.3777  0.8806
Al  0.7500  0.8128  0.1872
S  0.0551  0.6223  0.1194
S  0.9703  0.2663  0.4602
Dy  0.7500  0.1563  0.8437
S  0.5551  0.1194  0.6223
S  0.5297  0.5398  0.7337
S  0.1493  0.9483  0.8277
Ga  0.8031  0.6258  0.7470
Ga  0.6969  0.2530  0.3742
Dy  0.2500  0.8437  0.1563
S  0.6493  0.8277  0.9483
S  0.4703  0.4602  0.2663
S  0.0297  0.7337  0.5398
S  0.8507  0.0517  0.1723
S  0.4449  0.8806  0.3777
Al  0.2500  0.1872  0.8128
Ga  0.3031  0.7470  0.6258

The formation energy from raw total energies comes out at -1.024 eV/atom. The density of states at the Fermi level comes out at 0.00 states/eV per cell.



Entry 10:
DyAl2GaS6: relaxed, PBE.

Lattice parameters (Å, degrees): 7.0232 8.3843 8.3843 80.99 72.64 72.64
Positions (direct):
Dy  0.7500  0.1565  0.8435
S  0.1484  0.9461  0.8252
S  0.4708  0.4570  0.2732
S  0.5292  0.5430  0.7268
Dy  0.2500  0.8435  0.1565
S  0.9708  0.2732  0.4570
S  0.9388  0.3817  0.8837
S  0.5612  0.1163  0.6183
S  0.8516  0.0539  0.1748
Al  0.2990  0.7483  0.6247
Al  0.2010  0.3753  0.2517
S  0.4388  0.8837  0.3817
Ga  0.7500  0.8076  0.1924
Al  0.7010  0.2517  0.3753
S  0.0612  0.6183  0.1163
Ga  0.2500  0.1924  0.8076
S  0.3516  0.1748  0.0539
S  0.6484  0.8252  0.9461
Al  0.7990  0.6247  0.7483
S  0.0292  0.7268  0.5430

The formation energy from raw total energies comes out at -1.123 eV/atom. The density of states at the Fermi level comes out at 0.00 states/eV per cell.



Entry 11:
SmDy2Al2Ga2: relaxed, PBE.

Lattice parameters (Å, degrees): 4.2728 4.2728 11.0863 78.89 78.89 60.00
Positions (direct):
Dy  0.1261  0.1261  0.6217
Al  0.3942  0.3942  0.8174
Al  0.6058  0.6058  0.1826
Ga  0.2601  0.2601  0.2196
Ga  0.7399  0.7399  0.7804
Dy  0.8739  0.8739  0.3783
Sm  0.0000  0.0000  0.0000

The calculation puts the formation energy at -0.40 eV/atom. The density of states at the Fermi level comes out at 5.81 states/eV per cell.



Entry 12:
Sm2Dy2AlGa4: relaxed, PBE.

Lattice parameters (Å, degrees): 6.6784 6.6784 6.6784 96.09 116.55 116.55
Positions (direct):
Sm  0.0000  0.3113  0.3113
Al  0.0000  0.0000  0.0000
Ga  0.0000  0.2480  0.7520
Dy  0.5000  0.7500  0.2500
Ga  0.5041  0.7520  0.7520
Dy  0.5000  0.2500  0.7500
Ga  0.4959  0.2480  0.2480
Sm  0.0000  0.6887  0.6887
Ga  0.0000  0.7520  0.2480

The calculation puts the formation energy at -0.24 eV/atom. The density of states at the Fermi level comes out at 6.12 states/eV per cell.



| no. | final energy (eV/atom) |
| --- | --- |
| 1 | -4.395 |
| 2 | -5.741 |
| 3 | -5.623 |
| 4 | -5.894 |
| 5 | -6.131 |
| 6 | -5.848 |
| 7 | -5.754 |
| 8 | -6.415 |
| 9 | -4.941 |
| 10 | -5.110 |
| 11 | -4.322 |
| 12 | -4.070 |